(1)
# Ca4Sn2F, relaxed, DFT GGA-PBE
# Formation energy (no corrections), eV/atom: -1.280
# Density of states at the Fermi level, states/eV per atom: 0.655
# Spin magnetization, μB per atom: 0.0000
# Offset from the most stable computed form, meV per atom: 0.0
# Space-group type: I4/mmm, No. 139
data_Ca4Sn2F
_cell_length_a 4.707
_cell_length_b 4.707
_cell_length_c 9.453
_cell_angle_alpha 104.42
_cell_angle_beta 104.42
_cell_angle_gamma 90.00
_symmetry_space_group_name_H-M 'P 1'
_symmetry_Int_Tables_number 1
loop_
_symmetry_equiv_pos_as_xyz
'x,y,z'
loop_
_atom_site_label
_atom_site_type_symbol
_atom_site_fract_x
_atom_site_fract_y
_atom_site_fract_z
Sn1 Sn 0.633 0.633 0.267
Sn2 Sn 0.367 0.367 0.733
Ca1 Ca 0.182 0.182 0.365
Ca2 Ca 0.818 0.818 0.635
Ca3 Ca 0.500 0.000 0.000
Ca4 Ca 0.000 0.500 0.000
F1 F 0.000 0.000 0.000

---

(2)
# CaSnF2, relaxed, DFT GGA-PBE
# Formation energy (no corrections), eV/atom: -1.708
# Density of states at the Fermi level, states/eV per atom: 1.391
# Spin magnetization, μB per atom: 0.0000
# Offset from the most stable computed form, meV per atom: 947.9
# Space-group type: Fm-3m, No. 225
data_CaSnF2
_cell_length_a 4.714
_cell_length_b 4.714
_cell_length_c 4.714
_cell_angle_alpha 60.00
_cell_angle_beta 60.00
_cell_angle_gamma 60.00
_symmetry_space_group_name_H-M 'P 1'
_symmetry_Int_Tables_number 1
loop_
_symmetry_equiv_pos_as_xyz
'x,y,z'
loop_
_atom_site_label
_atom_site_type_symbol
_atom_site_fract_x
_atom_site_fract_y
_atom_site_fract_z
Sn1 Sn 0.500 0.500 0.500
F1 F 0.250 0.250 0.250
F2 F 0.750 0.750 0.750
Ca1 Ca 0.000 0.000 0.000

---

(3)
# Ca4Sn2F, relaxed, DFT GGA-PBE
# Formation energy (no corrections), eV/atom: -1.271
# Density of states at the Fermi level, states/eV per atom: 0.217
# Spin magnetization, μB per atom: 0.0007
# Offset from the most stable computed form, meV per atom: 8.8
# Space-group type: P2_1/m, No. 11
data_Ca4Sn2F
_cell_length_a 7.850
_cell_length_b 6.928
_cell_length_c 7.756
_cell_angle_alpha 90.00
_cell_angle_beta 104.61
_cell_angle_gamma 90.00
_symmetry_space_group_name_H-M 'P 1'
_symmetry_Int_Tables_number 1
loop_
_symmetry_equiv_pos_as_xyz
'x,y,z'
loop_
_atom_site_label
_atom_site_type_symbol
_atom_site_fract_x
_atom_site_fract_y
_atom_site_fract_z
Ca1 Ca 0.522 0.003 0.756
Ca2 Ca 0.522 0.497 0.756
Ca3 Ca 0.894 0.250 0.600
Ca4 Ca 0.478 0.997 0.244
Ca5 Ca 0.911 0.250 0.096
Ca6 Ca 0.106 0.750 0.400
Ca7 Ca 0.089 0.750 0.904
Ca8 Ca 0.478 0.503 0.244
Sn1 Sn 0.242 0.250 0.916
Sn2 Sn 0.241 0.250 0.452
Sn3 Sn 0.758 0.750 0.084
Sn4 Sn 0.759 0.750 0.548
F1 F 0.276 0.750 0.191
F2 F 0.724 0.250 0.809

---

(4)
# CaSnF2, relaxed, DFT GGA-PBE
# Formation energy (no corrections), eV/atom: -2.291
# Density of states at the Fermi level, states/eV per atom: 0.225
# Spin magnetization, μB per atom: 0.0000
# Offset from the most stable computed form, meV per atom: 364.6
# Space-group type: I-42d, No. 122
data_CaSnF2
_cell_length_a 6.101
_cell_length_b 6.101
_cell_length_c 6.774
_cell_angle_alpha 63.23
_cell_angle_beta 63.23
_cell_angle_gamma 90.00
_symmetry_space_group_name_H-M 'P 1'
_symmetry_Int_Tables_number 1
loop_
_symmetry_equiv_pos_as_xyz
'x,y,z'
loop_
_atom_site_label
_atom_site_type_symbol
_atom_site_fract_x
_atom_site_fract_y
_atom_site_fract_z
Ca1 Ca 0.500 0.500 0.000
Ca2 Ca 0.250 0.750 0.500
F1 F 0.250 0.625 0.250
F2 F 0.500 0.125 0.250
F3 F 0.875 0.750 0.750
F4 F 0.375 0.500 0.750
Sn1 Sn 0.000 0.000 0.000
Sn2 Sn 0.750 0.250 0.500

---

(5)
# CaSnF2, relaxed, DFT GGA-PBE
# Formation energy (no corrections), eV/atom: -2.656
# Density of states at the Fermi level, states/eV per atom: 0.222
# Spin magnetization, μB per atom: 0.0000
# Offset from the most stable computed form, meV per atom: 0.0
# Space-group type: R-3m, No. 166
data_CaSnF2
_cell_length_a 9.358
_cell_length_b 9.358
_cell_length_c 9.358
_cell_angle_alpha 21.34
_cell_angle_beta 21.34
_cell_angle_gamma 21.34
_symmetry_space_group_name_H-M 'P 1'
_symmetry_Int_Tables_number 1
loop_
_symmetry_equiv_pos_as_xyz
'x,y,z'
loop_
_atom_site_label
_atom_site_type_symbol
_atom_site_fract_x
_atom_site_fract_y
_atom_site_fract_z
Sn1 Sn 0.000 0.000 0.000
Ca1 Ca 0.500 0.500 0.500
F1 F 0.129 0.129 0.129
F2 F 0.871 0.871 0.871

---

(6)
# Ca6Sn3F, relaxed, DFT GGA-PBE
# Formation energy (no corrections), eV/atom: -0.928
# Density of states at the Fermi level, states/eV per atom: 0.589
# Spin magnetization, μB per atom: 0.0000
# Space-group type: P2_1/c, No. 14
data_Ca6Sn3F
_cell_length_a 6.604
_cell_length_b 9.029
_cell_length_c 10.201
_cell_angle_alpha 90.00
_cell_angle_beta 85.05
_cell_angle_gamma 90.00
_symmetry_space_group_name_H-M 'P 1'
_symmetry_Int_Tables_number 1
loop_
_symmetry_equiv_pos_as_xyz
'x,y,z'
loop_
_atom_site_label
_atom_site_type_symbol
_atom_site_fract_x
_atom_site_fract_y
_atom_site_fract_z
Ca1 Ca 0.385 0.534 0.720
Ca2 Ca 0.115 0.034 0.780
Ca3 Ca 0.627 0.173 0.937
Ca4 Ca 0.373 0.827 0.063
Ca5 Ca 0.106 0.322 0.058
Ca6 Ca 0.127 0.327 0.437
Ca7 Ca 0.885 0.966 0.220
Ca8 Ca 0.873 0.673 0.563
Ca9 Ca 0.894 0.678 0.942
Ca10 Ca 0.615 0.466 0.280
Ca11 Ca 0.606 0.178 0.558
Ca12 Ca 0.394 0.822 0.442
Sn1 Sn 0.500 0.500 0.000
Sn2 Sn 0.927 0.381 0.749
Sn3 Sn 0.573 0.881 0.751
Sn4 Sn 0.427 0.119 0.249
Sn5 Sn 0.000 0.000 0.500
Sn6 Sn 0.073 0.619 0.251
F1 F 0.500 0.500 0.500
F2 F 0.000 0.000 0.000

---

(7)
# Ca3SnF, relaxed, DFT GGA-PBE
# Formation energy (no corrections), eV/atom: -1.425
# Density of states at the Fermi level, states/eV per atom: 0.432
# Spin magnetization, μB per atom: 0.0158
# Offset from the most stable computed form, meV per atom: 0.0
# Space-group type: C2/m, No. 12
data_Ca3SnF
_cell_length_a 3.769
_cell_length_b 8.411
_cell_length_c 9.423
_cell_angle_alpha 88.54
_cell_angle_beta 90.00
_cell_angle_gamma 102.94
_symmetry_space_group_name_H-M 'P 1'
_symmetry_Int_Tables_number 1
loop_
_symmetry_equiv_pos_as_xyz
'x,y,z'
loop_
_atom_site_label
_atom_site_type_symbol
_atom_site_fract_x
_atom_site_fract_y
_atom_site_fract_z
F1 F 0.921 0.842 0.049
F2 F 0.079 0.158 0.951
Ca1 Ca 0.336 0.672 0.098
Ca2 Ca 0.144 0.288 0.529
Ca3 Ca 0.037 0.075 0.191
Ca4 Ca 0.856 0.712 0.471
Ca5 Ca 0.664 0.328 0.902
Ca6 Ca 0.963 0.925 0.809
Sn1 Sn 0.699 0.397 0.255
Sn2 Sn 0.301 0.603 0.745

---

(8)
# Ca3SnF, relaxed, DFT GGA-PBE
# Formation energy (no corrections), eV/atom: -1.350
# Density of states at the Fermi level, states/eV per atom: 1.015
# Spin magnetization, μB per atom: 0.0000
# Offset from the most stable computed form, meV per atom: 74.2
# Space-group type: Pm-3m, No. 221
data_Ca3SnF
_cell_length_a 4.979
_cell_length_b 4.979
_cell_length_c 4.979
_cell_angle_alpha 90.00
_cell_angle_beta 90.00
_cell_angle_gamma 90.00
_symmetry_space_group_name_H-M 'P 1'
_symmetry_Int_Tables_number 1
loop_
_symmetry_equiv_pos_as_xyz
'x,y,z'
loop_
_atom_site_label
_atom_site_type_symbol
_atom_site_fract_x
_atom_site_fract_y
_atom_site_fract_z
Ca1 Ca 0.500 0.000 0.000
Ca2 Ca 0.000 0.500 0.000
Ca3 Ca 0.000 0.000 0.500
F1 F 0.000 0.000 0.000
Sn1 Sn 0.500 0.500 0.500

---

Q: spin magnetization of number 2 (CaSnF2)?
A: 0.0000 μB per atom

---

Q: Which formula does entry 7 have?
A: Ca3SnF